Density functional theory data (PBE) for a relaxed Zn2MoAs crystal.

a = 8.862 Å, b = 8.862 Å, c = 8.862 Å
α = 19.13°, β = 19.13°, γ = 19.13°
Positions (direct):
1 As 0.750 0.750 0.750
2 Mo 0.250 0.250 0.250
3 Zn 0.999 0.999 0.999
4 Zn 0.501 0.501 0.501

Symmetry ... R-3m (166)
DFT formation energy ... 0.26 eV per atom
VASP energy ... -17.0 eV for the cell shown